The following is a GGA-PBE calculation of a relaxed SrNbRe2Bi crystal, from the Alexandria database.

The energy comes out at -5.07 eV/atom. Its total magnetic moment is 0.96 μB/cell.

It has space group P4/mmm (No. 123), with a = 4.919 Å, b = 4.919 Å, c = 4.988 Å, α = 90.00°, β = 90.00° and γ = 90.00°. The distinct sites, in fractional coordinates, are Sr at (0.000, 0.000, 0.000), Nb at (0.000, 0.000, 0.500), Re at (0.000, 0.500, 0.000) and Bi at (0.500, 0.500, 0.500).